[1]
Compound: AlReB
Source: OQMD via LeMat-Bulk
Functional: PBE
Structure: optimized geometry

Output
E   -79.9 eV/cell

The structure in CIF format:
```
data_AlReB
_chemical_formula_sum 'Al4 Re4 B4'
_cell_length_a 5.556
_cell_length_b 5.556
_cell_length_c 5.556
_cell_angle_alpha 90.00
_cell_angle_beta 90.00
_cell_angle_gamma 90.00
_symmetry_space_group_name_H-M 'F -4 3 m'
_symmetry_Int_Tables_number 216
_symmetry_space_group_name_Hall 'F -4 2 3'
loop_
_atom_site_label
_atom_site_type_symbol
_atom_site_fract_x
_atom_site_fract_y
_atom_site_fract_z
Al1 Al 0.000 0.000 0.000
Re1 Re 0.250 0.250 0.250
B1 B 0.000 0.000 0.500
```

---

[2]
Compound: La2NdNi7Pt2
Source: OQMD via LeMat-Bulk
Functional: PBE
Structure: optimized geometry

Output
E   -213.5 eV/cell
Formation enthalpy at 0 K   -0.456 eV/atom

The structure in CIF format:
```
data_La2NdNi7Pt2
_chemical_formula_sum 'La6 Nd3 Ni21 Pt6'
_cell_length_a 5.1417
_cell_length_b 5.1417
_cell_length_c 25.4687
_cell_angle_alpha 90.00
_cell_angle_beta 90.00
_cell_angle_gamma 120.00
_symmetry_space_group_name_H-M 'R -3 m'
_symmetry_Int_Tables_number 166
_symmetry_space_group_name_Hall '-R 3 2"'
loop_
_atom_site_label
_atom_site_type_symbol
_atom_site_fract_x
_atom_site_fract_y
_atom_site_fract_z
La1 La 0.0000 0.0000 0.1388
Nd1 Nd 0.0000 0.0000 0.0000
Ni1 Ni 0.0000 0.0000 0.5000
Ni2 Ni 0.0019 0.5010 0.0843
Pt1 Pt 0.0000 0.0000 0.3324
```